1.
SmScSb | PBE | optimized geometry

Geometry as extended XYZ:
```
3
Lattice="0.000 3.528 3.528 3.528 0.000 3.528 3.528 3.528 0.000" Properties=species:S:1:pos:R:3 pbc="T T T"
Sm 0.000 0.000 0.000
Sc 3.528 3.528 3.528
Sb 5.291 5.291 5.291
```

Values from the calculation:
- E_tot: -16.74 eV/f.u.

2.
KSmCoTe3 | PBE | optimized geometry

Geometry as extended XYZ:
```
24
Lattice="11.700 0.000 0.000 0.000 4.319 0.000 0.000 0.000 15.708" Properties=species:S:1:pos:R:3 pbc="T T T"
K 2.575 1.080 0.090
K 3.274 3.239 7.944
K 8.425 1.080 7.764
K 9.124 3.239 15.618
Sm 0.209 3.239 4.071
Sm 5.641 1.080 11.925
Sm 6.059 3.239 3.783
Sm 11.491 1.080 11.637
Co 2.775 3.239 12.301
Co 3.075 1.080 4.447
Co 8.625 3.239 11.261
Co 8.925 1.080 3.407
Te 0.634 3.239 13.737
Te 1.092 1.080 6.115
Te 2.774 1.080 10.754
Te 3.076 3.239 2.900
Te 4.758 3.239 13.969
Te 5.216 1.080 5.883
Te 6.484 3.239 9.825
Te 6.942 1.080 1.739
Te 8.624 1.080 12.808
Te 8.926 3.239 4.954
Te 10.608 3.239 9.593
Te 11.066 1.080 1.971
```

Values from the calculation:
- E_tot: -27.35 eV/f.u.

3.
Lu2SiIr | PBE | optimized geometry

Geometry as extended XYZ:
```
4
Lattice="0.000 3.328 3.328 3.328 0.000 3.328 3.328 3.328 0.000" Properties=species:S:1:pos:R:3 pbc="T T T"
Lu 0.000 0.000 0.000
Lu 1.664 1.664 1.664
Si 3.328 3.328 3.328
Ir 4.992 4.992 4.992
```

Values from the calculation:
- E_tot: -24.79 eV/f.u.

4.
GdSnNO | PBE | optimized geometry

Geometry as extended XYZ:
```
16
Lattice="6.752 0.000 0.000 0.000 7.126 0.000 0.000 0.000 5.701" Properties=species:S:1:pos:R:3 pbc="T T T"
Gd 0.595 1.084 0.000
Gd 2.781 1.084 2.850
Gd 3.971 6.042 0.000
Gd 6.157 6.042 2.850
Sn 0.812 4.756 5.638
Sn 2.563 4.756 2.788
Sn 4.188 2.370 5.638
Sn 5.939 2.370 2.788
N 0.579 0.838 3.404
N 2.797 0.838 0.554
N 3.955 6.288 3.404
N 6.173 6.288 0.554
O 0.421 3.068 1.134
O 2.955 3.068 3.984
O 3.797 4.059 1.134
O 6.331 4.059 3.984
```

Values from the calculation:
- Energy above the lowest structure with this stoichiometry: 75 meV/atom
- E_tot: -27.38 eV/f.u.

5.
DyScS2Cl2 | PBE | optimized geometry

Geometry as extended XYZ:
```
6
Lattice="3.840 0.000 0.000 0.000 5.224 0.000 0.000 0.000 8.239" Properties=species:S:1:pos:R:3 pbc="T T T"
Dy 0.000 0.000 0.000
Sc 1.920 2.612 2.257
S 0.000 2.612 0.506
S 1.920 0.000 1.935
Cl 0.000 2.612 3.910
Cl 1.920 0.000 6.414
```

Values from the calculation:
- E_tot: -35.35 eV/f.u.

6.
Ho3GaC | PBE | optimized geometry

Geometry as extended XYZ:
```
5
Lattice="4.823 0.000 0.000 0.000 4.823 0.000 0.000 0.000 4.823" Properties=species:S:1:pos:R:3 pbc="T T T"
Ho 0.000 0.000 2.412
Ho 0.000 2.412 0.000
Ho 2.412 0.000 0.000
Ga 2.412 2.412 2.412
C 0.000 0.000 0.000
```

Values from the calculation:
- E_tot: -28.35 eV/f.u.